Here is KMnBe after structural relaxation from Alexandria. Energies are from GGA-PBE.

Unit cell a=4.8137 b=4.8137 c=4.8137 alpha=60.00 beta=60.00 gamma=60.00
With the nearest neighbours (Å) after each atom.
Atoms (fractional coordinates):
K (0.5000, 0.5000, 0.5000)  4 Mn 2.95
Mn (0.2500, 0.2500, 0.2500)  4 K 2.95, 4 Be 2.95
Be (0.0000, 0.0000, 0.0000)  4 Mn 2.95

Computed properties:
space-group type	F-43m
energy of formation from the pure elements	1459	meV/atom
density of states at the Fermi level	4.1	states/eV/f.u.
ΔE to the lowest computed polymorph	774	meV per atom
crystal system	cubic

Here is YZr2P after structural relaxation from Alexandria. Energies are from GGA-PBE.

Unit cell a=8.1958 b=8.1958 c=6.4394 alpha=50.48 beta=50.48 gamma=90.00
With the nearest neighbours (Å) after each atom.
Atoms (fractional coordinates):
P (0.5000, 0.5000, 0.0000)  4 Zr 2.61, 2 Y 2.81
P (0.2500, 0.7500, 0.5000)  4 Zr 2.61, 2 Y 2.81
Y (0.0000, 0.0000, 0.0000)  2 P 2.81
Y (0.7500, 0.2500, 0.5000)  2 P 2.81
Zr (0.1972, 0.6250, 0.2500)  2 P 2.61
Zr (0.5528, 0.1250, 0.2500)  2 P 2.61
Zr (0.3750, 0.4472, 0.7500)  2 P 2.61
Zr (0.8750, 0.8028, 0.7500)  2 P 2.61

Computed properties:
space-group type	I-42d
energy of formation from the pure elements	-378	meV/atom
density of states at the Fermi level	4.0	states/eV/f.u.
crystal system	tetragonal

Here is NaSnSb2 after structural relaxation from Alexandria. Energies are from GGA-PBE.

Unit cell a=5.0703 b=5.0703 c=11.8827 alpha=90.00 beta=90.00 gamma=120.00
With the nearest neighbours (Å) after each atom.
Atoms (fractional coordinates):
Sn (0.3333, 0.6667, 0.5939)  4 Sb 3.01-3.03
Sn (0.6667, 0.3333, 0.4061)  4 Sb 3.01-3.03
Na (0.0000, 0.0000, 0.1761)  9 Sb 3.41-3.81
Na (0.0000, 0.0000, 0.8239)  9 Sb 3.41-3.81
Sb (0.3333, 0.6667, 0.3408)  4 Sn 3.01-3.03
Sb (0.6667, 0.3333, 0.6592)  4 Sn 3.01-3.03
Sb (0.6667, 0.3333, 0.0286)  3 Sb 3.01
Sb (0.3333, 0.6667, 0.9714)  3 Sb 3.01

Computed properties:
space-group type	P-3m1
density of states at the Fermi level	1.7	states/eV/f.u.
formation energy from raw total energies	-0.31	eV/f.u.
crystal system	trigonal

Here is Gd2GeOs after structural relaxation from Alexandria. Energies are from GGA-PBE.

Unit cell a=3.4922 b=3.4922 c=7.2141 alpha=90.00 beta=90.00 gamma=90.00
With the nearest neighbours (Å) after each atom.
Atoms (fractional coordinates):
Gd (0.0000, 0.0000, 0.2336)  4 Os 2.99, 4 Ge 3.13
Gd (0.0000, 0.0000, 0.7664)  4 Os 2.99, 4 Ge 3.13
Os (0.5000, 0.5000, 0.0000)  8 Gd 2.99
Ge (0.5000, 0.5000, 0.5000)  8 Gd 3.13, 4 Ge 3.49

Computed properties:
space-group type	P4/mmm
energy of formation from the pure elements	-370	meV/atom
density of states at the Fermi level	1.9	states/eV/f.u.
crystal system	tetragonal

Here is PmSm3Dy7 after structural relaxation from Alexandria. Energies are from GGA-PBE.

Unit cell a=8.6732 b=7.0792 c=7.0792 alpha=120.00 beta=90.00 gamma=90.00
With the nearest neighbours (Å) after each atom.
Atoms (fractional coordinates):
Dy (0.4468, 0.8323, 0.6647)  7 Dy 3.48-3.56, 2 Pm 3.54, 2 Sm 3.56
Dy (0.1185, 0.6652, 0.8326)  1 Pm 3.49, 8 Dy 3.51-3.56, 2 Sm 3.55
Dy (0.4468, 0.8323, 0.1677)  7 Dy 3.48-3.56, 2 Pm 3.54, 2 Sm 3.56
Dy (0.4468, 0.3353, 0.1677)  7 Dy 3.48-3.56, 2 Pm 3.54, 2 Sm 3.56
Dy (0.1214, 0.6667, 0.3333)  9 Dy 3.48-3.54, 3 Sm 3.57
Dy (0.1185, 0.1674, 0.3348)  1 Pm 3.49, 8 Dy 3.51-3.56, 2 Sm 3.55
Dy (0.1185, 0.1674, 0.8326)  1 Pm 3.49, 8 Dy 3.51-3.56, 2 Sm 3.55
Sm (0.7841, 0.9994, 0.4997)  4 Sm 3.53-3.55, 5 Dy 3.55-3.57, 1 Pm 3.58
Sm (0.7841, 0.5003, 0.0006)  4 Sm 3.53-3.55, 5 Dy 3.55-3.57, 1 Pm 3.58
Sm (0.7841, 0.5003, 0.4997)  4 Sm 3.53-3.55, 5 Dy 3.55-3.57, 1 Pm 3.58
Pm (0.4453, 0.3333, 0.6667)  9 Dy 3.49-3.54, 3 Sm 3.58

Computed properties:
space-group type	P3m1
energy of formation from the pure elements	182	meV/atom
density of states at the Fermi level	17.0	states/eV/f.u.
ΔE to the lowest computed polymorph	0	meV per atom
crystal system	trigonal

Here is Sc2Sb after structural relaxation from Alexandria. Energies are from GGA-PBE.

Unit cell a=8.0807 b=8.0807 c=5.7049 alpha=90.00 beta=90.00 gamma=156.42
With the nearest neighbours (Å) after each atom.
Atoms (fractional coordinates):
Sc (0.5492, 0.4508, 0.2500)  2 Sb 2.95, 4 Sc 3.25-3.29
Sc (0.1310, 0.8690, 0.7500)  4 Sb 3.07-3.09, 4 Sc 3.29-3.30
Sc (0.4508, 0.5492, 0.7500)  2 Sb 2.95, 4 Sc 3.25-3.29
Sc (0.8690, 0.1310, 0.2500)  4 Sb 3.07-3.09, 4 Sc 3.29-3.30
Sb (0.7965, 0.2035, 0.7500)  6 Sc 2.95-3.09
Sb (0.2035, 0.7965, 0.2500)  6 Sc 2.95-3.09

Computed properties:
space-group type	Cmcm
density of states at the Fermi level	4.0	states/eV/f.u.
formation energy from raw total energies	-1.12	eV/f.u.
crystal system	orthorhombic

Here is Tm3Cu2Ni2 after structural relaxation from Alexandria. Energies are from GGA-PBE.

Unit cell a=8.7143 b=8.7143 c=8.7143 alpha=29.88 beta=29.88 gamma=29.88
With the nearest neighbours (Å) after each atom.
Atoms (fractional coordinates):
Tm (0.7863, 0.7863, 0.7863)  4 Ni 2.63-2.79, 3 Cu 2.89
Tm (0.2137, 0.2137, 0.2137)  4 Ni 2.63-2.79, 3 Cu 2.89
Tm (0.0000, 0.0000, 0.0000)  2 Ni 2.54
Cu (0.5979, 0.5979, 0.5979)  3 Ni 2.72, 3 Tm 2.89
Cu (0.4021, 0.4021, 0.4021)  3 Ni 2.72, 3 Tm 2.89
Ni (0.8981, 0.8981, 0.8981)  5 Tm 2.54-2.79, 3 Cu 2.72
Ni (0.1019, 0.1019, 0.1019)  5 Tm 2.54-2.79, 3 Cu 2.72

Computed properties:
space-group type	R-3m
energy of formation from the pure elements	-160	meV/atom
density of states at the Fermi level	3.8	states/eV/f.u.
crystal system	trigonal

Here is KMgIrF6 after structural relaxation from Alexandria. Energies are from GGA-PBE.

Unit cell a=5.4008 b=5.4008 c=11.5479 alpha=90.00 beta=90.00 gamma=120.00
With the nearest neighbours (Å) after each atom.
Atoms (fractional coordinates):
F (0.6373, 0.6389, 0.1565)  1 Mg 2.03, 1 Ir 2.04
F (0.3611, 0.9984, 0.1565)  1 Mg 2.03, 1 Ir 2.04
F (0.3611, 0.3627, 0.3435)  1 Mg 2.03, 1 Ir 2.04
F (0.6389, 0.0016, 0.8435)  1 Mg 2.03, 1 Ir 2.04
F (0.3627, 0.0016, 0.6565)  1 Mg 2.03, 1 Ir 2.04
F (0.9984, 0.3611, 0.6565)  1 Mg 2.03, 1 Ir 2.04
F (0.0016, 0.6389, 0.3435)  1 Mg 2.03, 1 Ir 2.04
F (0.3627, 0.3611, 0.8435)  1 Mg 2.03, 1 Ir 2.04
F (0.0016, 0.3627, 0.1565)  1 Mg 2.03, 1 Ir 2.04
F (0.9984, 0.6373, 0.8435)  1 Mg 2.03, 1 Ir 2.04
F (0.6373, 0.9984, 0.3435)  1 Mg 2.03, 1 Ir 2.04
F (0.6389, 0.6373, 0.6565)  1 Mg 2.03, 1 Ir 2.04
K (0.0000, 0.0000, 0.0000)  6 F 2.66
K (0.0000, 0.0000, 0.5000)  6 F 2.66
Mg (0.6667, 0.3333, 0.7500)  6 F 2.03
Mg (0.3333, 0.6667, 0.2500)  6 F 2.03
Ir (0.6667, 0.3333, 0.2500)  6 F 2.04
Ir (0.3333, 0.6667, 0.7500)  6 F 2.04

Computed properties:
space-group type	P-31c
density of states at the Fermi level	0.0	states/eV/f.u.
formation energy from raw total energies	-21.81	eV/f.u.
crystal system	trigonal